[1]
Entry from Alexandria: a relaxed SrReRu2 crystal (PBE-GGA).

## Properties
* ΔE to the lowest computed polymorph: 1.32 eV per formula unit
* DFT formation energy: 769 meV per atom

a = 6.094 Å, b = 6.094 Å, c = 6.094 Å
α = 105.04°, β = 105.04°, γ = 118.76°
Sites, in units of the cell vectors:
Sr1 0.000 0.000 0.000
Sr2 0.750 0.250 0.500
Re1 0.250 0.750 0.500
Re2 0.500 0.500 0.000
Ru1 0.197 0.625 0.072
Ru2 0.375 0.447 0.572
Ru3 0.553 0.125 0.928
Ru4 0.875 0.803 0.428

[2]
Entry from Alexandria: a relaxed ThUTe2 crystal (PBE-GGA).

## Properties
* ΔE to the lowest computed polymorph: 0.12 eV per formula unit
* ΔE_f (raw): -0.700 eV per atom

a = 4.417 Å, b = 4.417 Å, c = 6.258 Å
α = 90.00°, β = 90.00°, γ = 90.00°
Sites, in units of the cell vectors:
Th1 0.000 0.000 0.000
U1 0.500 0.500 0.500
Te1 0.000 0.000 0.500
Te2 0.500 0.500 0.000

[3]
Entry from Alexandria: a relaxed Hf2SiRhSe crystal (PBE-GGA).

## Properties
* ΔE_f (raw): 0.097 eV per atom

a = 4.991 Å, b = 4.991 Å, c = 4.272 Å
α = 90.00°, β = 90.00°, γ = 90.00°
Sites, in units of the cell vectors:
Hf1 0.000 0.500 0.000
Hf2 0.500 0.000 0.000
Si1 0.000 0.000 0.000
Rh1 0.000 0.000 0.500
Se1 0.500 0.500 0.500

[4]
Entry from Alexandria: a relaxed BePtIN2 crystal (PBE-GGA).

## Properties
* ΔE to the lowest computed polymorph: 1.03 eV per formula unit
* ΔE_f (raw): 1.433 eV per atom

a = 3.635 Å, b = 3.635 Å, c = 7.616 Å
α = 90.00°, β = 90.00°, γ = 90.00°
Sites, in units of the cell vectors:
Be1 0.000 0.000 0.000
Pt1 0.500 0.500 0.500
I1 0.000 0.000 0.500
N1 0.000 0.500 0.000
N2 0.500 0.000 0.000

[5]
Entry from Alexandria: a relaxed Pr6ThTe8 crystal (PBE-GGA).

## Properties
* ΔE_f (raw): -1.404 eV per atom

a = 9.018 Å, b = 9.018 Å, c = 9.018 Å
α = 60.00°, β = 60.00°, γ = 60.00°
Sites, in units of the cell vectors:
Pr1 0.000 0.000 0.500
Pr2 0.000 0.500 0.000
Pr3 0.000 0.500 0.500
Pr4 0.500 0.000 0.000
Pr5 0.500 0.000 0.500
Pr6 0.500 0.500 0.000
Th1 0.000 0.000 0.000
Te1 0.250 0.250 0.250
Te2 0.254 0.254 0.746
Te3 0.254 0.746 0.254
Te4 0.254 0.746 0.746
Te5 0.746 0.254 0.254
Te6 0.746 0.254 0.746
Te7 0.746 0.746 0.254
Te8 0.750 0.750 0.750

[6]
Entry from Alexandria: a relaxed Ce3Sm2DyN6 crystal (PBE-GGA).

## Properties
* ΔE_f (raw): -1.535 eV per atom

a = 6.164 Å, b = 6.164 Å, c = 6.154 Å
α = 99.61°, β = 99.61°, γ = 119.99°
Sites, in units of the cell vectors:
Ce1 0.000 0.000 0.000
Ce2 0.334 0.666 0.000
Ce3 0.666 0.334 0.000
Sm1 0.167 0.833 0.500
Sm2 0.833 0.167 0.500
Dy1 0.500 0.500 0.500
N1 0.088 0.415 0.244
N2 0.259 0.259 0.756
N3 0.415 0.088 0.244
N4 0.585 0.912 0.756
N5 0.741 0.741 0.244
N6 0.912 0.585 0.756

[7]
Entry from Alexandria: a relaxed MgCuW2 crystal (PBE-GGA).

## Properties
* DFT formation energy: 382 meV per atom

a = 4.126 Å, b = 3.311 Å, c = 4.579 Å
α = 90.00°, β = 90.18°, γ = 90.00°
Sites, in units of the cell vectors:
Mg1 0.000 0.000 0.000
Cu1 0.500 0.500 0.000
W1 0.000 0.500 0.500
W2 0.500 0.000 0.500

[8]
Entry from Alexandria: a relaxed Li2Pm3GaPd9 crystal (PBE-GGA).

## Properties
* DFT formation energy: -496 meV per atom

a = 6.700 Å, b = 6.700 Å, c = 7.152 Å
α = 90.00°, β = 90.00°, γ = 120.00°
Sites, in units of the cell vectors:
Li1 0.333 0.667 0.137
Li2 0.667 0.333 0.863
Pm1 0.000 0.000 0.000
Pm2 0.333 0.667 0.673
Pm3 0.667 0.333 0.327
Ga1 0.000 0.000 0.500
Pd1 0.000 0.500 0.000
Pd2 0.181 0.361 0.334
Pd3 0.181 0.819 0.334
Pd4 0.361 0.181 0.666
Pd5 0.500 0.000 0.000
Pd6 0.500 0.500 0.000
Pd7 0.639 0.819 0.334
Pd8 0.819 0.181 0.666
Pd9 0.819 0.639 0.666

Short version: total moment = 0.00; 3.01; 0.00; 2.03; 0.00; 0.43; 0.00; 0.00 μB/f.u., in the order given.
Short version: N(E_F) = 10.52; 10.07; 4.68; 4.13; 8.82; 7.63; 2.36; 5.29 states/eV/cell, in the order given.